# 1
First-principles (PBE) data for a relaxed PaSnBi2N crystal, as listed in the Alexandria database.

a b c (Å): 4.0190 4.0190 17.0705
angles (deg): 90.00 90.00 90.00
Element x y z (fractional)
Bi1 0.5000 0.0000 0.3262
Bi2 0.5000 0.0000 0.9264
Bi3 0.0000 0.5000 0.0736
Bi4 0.0000 0.5000 0.6738
Pa1 0.5000 0.0000 0.5666
Pa2 0.0000 0.5000 0.4334
Sn1 0.0000 0.5000 0.8483
Sn2 0.5000 0.0000 0.1517
N1 0.0000 0.0000 0.5000
N2 0.5000 0.5000 0.5000

Calculated values
M_tot in μB/f.u.: 0.00
ΔE_f (raw) in eV/f.u.: -3.1
Energy in eV/atom: -6.539

# 2
First-principles (PBE) data for a relaxed ZrTe2Mo crystal, as listed in the Alexandria database.

a b c (Å): 5.2084 3.5274 4.7979
angles (deg): 90.00 90.00 90.00
Each line ends with the local moment (μB).
Element x y z (fractional)
Te1 0.0000 0.8750 0.9777  0.00
Te2 0.5000 0.3751 0.2767  0.00
Mo1 0.5000 0.8751 0.7372  0.24
Zr1 0.0000 0.3749 0.5084  0.03

Calculated values
M_tot in μB/f.u.: 0.34
ΔE_f (raw) in eV/f.u.: -0.6
Energy in eV/atom: -6.571

# 3
First-principles (PBE) data for a relaxed SiTc2W crystal, as listed in the Alexandria database.

a b c (Å): 8.5149 8.5149 8.5149
angles (deg): 19.21 19.21 19.21
Element x y z (fractional)
Tc1 0.0049 0.0049 0.0049
Tc2 0.4951 0.4951 0.4951
Si1 0.7500 0.7500 0.7500
W1 0.2500 0.2500 0.2500

Calculated values
M_tot in μB/f.u.: 0.00
ΔE_f (raw) in eV/f.u.: -0.1
Energy in eV/atom: -9.807

# 4
First-principles (PBE) data for a relaxed Y2ErAg6 crystal, as listed in the Alexandria database.

a b c (Å): 5.3014 9.2805 9.2805
angles (deg): 120.37 90.15 90.15
Element x y z (fractional)
Y1 0.5000 0.3353 0.1647
Y2 0.5000 0.6647 0.8353
Y3 0.0000 0.1647 0.3353
Y4 0.0000 0.8353 0.6647
Ag1 0.7509 0.4111 0.9110
Ag2 0.0018 0.8335 0.0027
Ag3 0.2491 0.5889 0.0890
Ag4 0.5018 0.0027 0.8335
Ag5 0.4982 0.6667 0.4971
Ag6 0.2509 0.9110 0.4111
Ag7 0.7491 0.0890 0.5889
Ag8 0.0018 0.5029 0.3333
Ag9 0.9982 0.1665 0.9973
Ag10 0.5018 0.3333 0.5029
Ag11 0.4982 0.9973 0.1665
Ag12 0.9982 0.4971 0.6667
Er1 0.7500 0.7501 0.2499
Er2 0.2500 0.2499 0.7501

Calculated values
M_tot in μB/f.u.: 0.00
Energy in eV/atom: -4.102